*one*
{
  "formula": "LaVIO2",
  "functional": "GGA+U",
  "state": "optimized geometry",
  "lattice_angstrom": [[-3.515, -1.605, -1.761], [0.039, -3.178, 2.817], [-2.946, 2.863, 3.271]],
  "species": ["O", "V", "La", "I", "O"],
  "frac_coords": [[0.500, 0.000, 0.000], [0.000, 0.000, 0.000], [0.500, 0.500, 0.500], [0.000, 0.000, 0.500], [0.000, 0.500, 0.000]],
  "magmom_total_mub_per_cell": 2.3
}

***

*two*
{
  "formula": "LaVIO2",
  "functional": "GGA+U",
  "state": "optimized geometry",
  "lattice_angstrom": [[4.433, 0.000, 0.000], [0.000, 4.433, 0.000], [0.000, 0.000, 6.771]],
  "species": ["V", "O", "La", "O", "I"],
  "frac_coords": [[0.500, 0.500, 0.500], [0.000, 0.500, 0.000], [0.000, 0.000, 0.000], [0.500, 0.000, 0.000], [0.000, 0.000, 0.500]],
  "magmom_total_mub_per_cell": 3.6
}

***

What are the relative energies? In eV/atom: *one* 0.000; *two* 0.149.